{
  "formula": "AcTmIn",
  "functional": "PBE-GGA",
  "state": "relaxed",
  "lattice": [[3.8634, 0.0000, 0.0000], [0.0000, 3.8634, 0.0000], [0.0000, 0.0000, 27.4354]],
  "species": ["Ac", "Ac", "Ac", "Ac", "Tm", "Tm", "Tm", "Tm", "In", "In", "In", "In"],
  "fractional_positions": [[0.0000, 0.0000, 0.0713], [0.0000, 0.0000, 0.9287], [0.5000, 0.5000, 0.4287], [0.5000, 0.5000, 0.5713], [0.0000, 0.0000, 0.2121], [0.0000, 0.0000, 0.7879], [0.5000, 0.5000, 0.2879], [0.5000, 0.5000, 0.7121], [0.0000, 0.0000, 0.3484], [0.0000, 0.0000, 0.6516], [0.5000, 0.5000, 0.1516], [0.5000, 0.5000, 0.8484]],
  "sg": "I4/mmm, No. 139",
  "total_energy_ev_per_cell": -47.47,
  "crystal_system": "tetragonal",
  "total_magnetization_mub_per_atom": 0.24,
  "e_form_ev_per_atom": -0.18,
  "polymorph_energy_ev_per_fu": 0.38
}



{
  "formula": "Ac2TmIn",
  "functional": "PBE-GGA",
  "state": "relaxed",
  "lattice": [[8.2702, 0.0000, 0.0000], [0.0000, 8.2702, 0.0000], [0.0000, 0.0000, 8.2702]],
  "species": ["Ac", "Ac", "Ac", "Ac", "Ac", "Ac", "Ac", "Ac", "Tm", "Tm", "Tm", "Tm", "In", "In", "In", "In"],
  "fractional_positions": [[0.2500, 0.2500, 0.2500], [0.2500, 0.2500, 0.7500], [0.2500, 0.7500, 0.2500], [0.2500, 0.7500, 0.7500], [0.7500, 0.2500, 0.2500], [0.7500, 0.2500, 0.7500], [0.7500, 0.7500, 0.2500], [0.7500, 0.7500, 0.7500], [0.0000, 0.0000, 0.0000], [0.0000, 0.5000, 0.5000], [0.5000, 0.0000, 0.5000], [0.5000, 0.5000, 0.0000], [0.0000, 0.0000, 0.5000], [0.0000, 0.5000, 0.0000], [0.5000, 0.0000, 0.0000], [0.5000, 0.5000, 0.5000]],
  "sg": "Fm-3m, No. 225",
  "total_energy_ev_per_cell": -63.21,
  "crystal_system": "cubic",
  "total_magnetization_mub_per_atom": 0.00,
  "e_form_ev_per_atom": -0.09,
  "polymorph_energy_ev_per_fu": 0.22
}



{
  "formula": "Ac2TmIn3",
  "functional": "PBE-GGA",
  "state": "relaxed",
  "lattice": [[3.9443, 0.0000, 0.0000], [0.0000, 3.9443, 0.0000], [0.0000, 0.0000, 12.1409]],
  "species": ["Ac", "Ac", "Tm", "In", "In", "In"],
  "fractional_positions": [[0.0000, 0.0000, 0.1784], [0.0000, 0.0000, 0.8216], [0.0000, 0.0000, 0.5000], [0.5000, 0.5000, 0.0000], [0.5000, 0.5000, 0.3630], [0.5000, 0.5000, 0.6370]],
  "sg": "P4/mmm, No. 123",
  "total_energy_ev_per_cell": -23.42,
  "crystal_system": "tetragonal",
  "total_magnetization_mub_per_atom": 0.00,
  "e_form_ev_per_atom": -0.42,
  "polymorph_energy_ev_per_fu": 0.00
}



{
  "formula": "AcTmIn4",
  "functional": "PBE-GGA",
  "state": "relaxed",
  "lattice": [[0.0000, 4.3579, 4.3579], [4.3579, 0.0000, 4.3579], [4.3579, 4.3579, 0.0000]],
  "species": ["Ac", "Tm", "In", "In", "In", "In"],
  "fractional_positions": [[0.0000, 0.0000, 0.0000], [0.7500, 0.7500, 0.7500], [0.3752, 0.3752, 0.3752], [0.3752, 0.3752, 0.8743], [0.3752, 0.8743, 0.3752], [0.8743, 0.3752, 0.3752]],
  "sg": "F-43m, No. 216",
  "total_energy_ev_per_cell": -21.38,
  "crystal_system": "cubic",
  "total_magnetization_mub_per_atom": 0.00,
  "e_form_ev_per_atom": -0.31,
  "polymorph_energy_ev_per_fu": 0.60
}



{
  "formula": "Ac3TmIn4",
  "functional": "PBE-GGA",
  "state": "relaxed",
  "lattice": [[3.9431, 0.0000, 0.0000], [0.0000, 3.9431, 0.0000], [0.0000, 0.0000, 16.5981]],
  "species": ["Ac", "Ac", "Ac", "Tm", "In", "In", "In", "In"],
  "fractional_positions": [[0.0000, 0.0000, 0.0000], [0.0000, 0.0000, 0.2646], [0.0000, 0.0000, 0.7354], [0.0000, 0.0000, 0.5000], [0.5000, 0.5000, 0.1333], [0.5000, 0.5000, 0.3995], [0.5000, 0.5000, 0.6005], [0.5000, 0.5000, 0.8667]],
  "sg": "P4/mmm, No. 123",
  "total_energy_ev_per_cell": -31.11,
  "crystal_system": "tetragonal",
  "total_magnetization_mub_per_atom": 0.00,
  "e_form_ev_per_atom": -0.42
}



{
  "formula": "Ac14TmIn",
  "functional": "PBE-GGA",
  "state": "relaxed",
  "lattice": [[7.7962, 0.0000, 0.0000], [0.0000, 7.7962, 0.0000], [0.0000, 0.0000, 11.1365]],
  "species": ["Ac", "Ac", "Ac", "Ac", "Ac", "Ac", "Ac", "Ac", "Ac", "Ac", "Ac", "Ac", "Ac", "Ac", "Tm", "In"],
  "fractional_positions": [[0.0000, 0.0000, 0.0000], [0.0000, 0.5000, 0.0000], [0.0000, 0.5000, 0.5000], [0.2489, 0.2489, 0.2587], [0.2489, 0.2489, 0.7413], [0.2489, 0.7511, 0.2587], [0.2489, 0.7511, 0.7413], [0.5000, 0.0000, 0.0000], [0.5000, 0.0000, 0.5000], [0.5000, 0.5000, 0.0000], [0.7511, 0.2489, 0.2587], [0.7511, 0.2489, 0.7413], [0.7511, 0.7511, 0.2587], [0.7511, 0.7511, 0.7413], [0.5000, 0.5000, 0.5000], [0.0000, 0.0000, 0.5000]],
  "sg": "P4/mmm, No. 123",
  "total_energy_ev_per_cell": -65.05,
  "crystal_system": "tetragonal",
  "total_magnetization_mub_per_atom": 0.00,
  "e_form_ev_per_atom": -0.02
}



{
  "formula": "AcTm2In",
  "functional": "PBE-GGA",
  "state": "relaxed",
  "lattice": [[3.6786, 0.0000, 0.0000], [0.0000, 3.6786, 0.0000], [0.0000, 0.0000, 9.2791]],
  "species": ["Ac", "Tm", "Tm", "In"],
  "fractional_positions": [[0.0000, 0.0000, 0.0000], [0.5000, 0.5000, 0.2893], [0.5000, 0.5000, 0.7107], [0.0000, 0.0000, 0.5000]],
  "sg": "P4/mmm, No. 123",
  "total_energy_ev_per_cell": -16.57,
  "crystal_system": "tetragonal",
  "total_magnetization_mub_per_atom": 0.00,
  "e_form_ev_per_atom": -0.20,
  "polymorph_energy_ev_per_fu": 0.00
}



{
  "formula": "Ac4TmIn5",
  "functional": "PBE-GGA",
  "state": "relaxed",
  "lattice": [[3.9538, 0.0000, 0.0000], [0.0000, 3.9538, 0.0000], [0.0000, 0.0000, 20.9322]],
  "species": ["Ac", "Ac", "Ac", "Ac", "Tm", "In", "In", "In", "In", "In"],
  "fractional_positions": [[0.0000, 0.0000, 0.1054], [0.0000, 0.0000, 0.3140], [0.0000, 0.0000, 0.6860], [0.0000, 0.0000, 0.8946], [0.0000, 0.0000, 0.5000], [0.5000, 0.5000, 0.0000], [0.5000, 0.5000, 0.2105], [0.5000, 0.5000, 0.4206], [0.5000, 0.5000, 0.5794], [0.5000, 0.5000, 0.7895]],
  "sg": "P4/mmm, No. 123",
  "total_energy_ev_per_cell": -38.79,
  "crystal_system": "tetragonal",
  "total_magnetization_mub_per_atom": 0.00,
  "e_form_ev_per_atom": -0.42
}



{
  "formula": "AcTm2In",
  "functional": "PBE-GGA",
  "state": "relaxed",
  "lattice": [[3.5880, 0.0000, 0.0000], [-1.7940, 3.1073, 0.0000], [0.0000, 0.0000, 35.8311]],
  "species": ["Ac", "Ac", "Ac", "Tm", "Tm", "Tm", "Tm", "Tm", "Tm", "In", "In", "In"],
  "fractional_positions": [[0.0000, 0.0000, 0.0000], [0.3333, 0.6667, 0.6667], [0.6667, 0.3333, 0.3333], [0.0000, 0.0000, 0.0992], [0.0000, 0.0000, 0.9008], [0.3333, 0.6667, 0.5674], [0.3333, 0.6667, 0.7659], [0.6667, 0.3333, 0.2341], [0.6667, 0.3333, 0.4326], [0.0000, 0.0000, 0.5000], [0.3333, 0.6667, 0.1667], [0.6667, 0.3333, 0.8333]],
  "sg": "R-3m, No. 166",
  "total_energy_ev_per_cell": -46.45,
  "crystal_system": "trigonal",
  "total_magnetization_mub_per_atom": 0.00,
  "e_form_ev_per_atom": 0.08,
  "polymorph_energy_ev_per_fu": 1.09
}



{
  "formula": "AcTmIn3",
  "functional": "PBE-GGA",
  "state": "relaxed",
  "lattice": [[2.2299, -14.3321, 0.0000], [2.2299, 14.3321, 0.0000], [0.0000, 0.0000, 4.7193]],
  "species": ["Ac", "Ac", "Tm", "Tm", "In", "In", "In", "In", "In", "In"],
  "fractional_positions": [[0.0781, 0.9219, 0.7500], [0.9219, 0.0781, 0.2500], [0.2061, 0.7939, 0.2500], [0.7939, 0.2061, 0.7500], [0.3138, 0.6862, 0.2500], [0.3735, 0.6265, 0.7500], [0.4739, 0.5261, 0.7500], [0.5261, 0.4739, 0.2500], [0.6265, 0.3735, 0.2500], [0.6862, 0.3138, 0.7500]],
  "sg": "Cmcm, No. 63",
  "total_energy_ev_per_cell": -37.54,
  "crystal_system": "orthorhombic",
  "total_magnetization_mub_per_atom": 0.00,
  "e_form_ev_per_atom": -0.39
}



{
  "formula": "AcTmIn",
  "functional": "PBE-GGA",
  "state": "relaxed",
  "lattice": [[3.7655, 0.0000, 0.0000], [0.0000, 3.7655, 0.0000], [0.0000, 0.0000, 13.8724]],
  "species": ["Ac", "Ac", "Tm", "Tm", "In", "In"],
  "fractional_positions": [[0.0000, 0.0000, 0.0000], [0.5000, 0.5000, 0.5000], [0.0000, 0.0000, 0.3038], [0.5000, 0.5000, 0.8038], [0.0000, 0.0000, 0.6739], [0.5000, 0.5000, 0.1739]],
  "sg": "I4mm, No. 107",
  "total_energy_ev_per_cell": -24.10,
  "crystal_system": "tetragonal",
  "total_magnetization_mub_per_atom": 0.00,
  "e_form_ev_per_atom": -0.24,
  "polymorph_energy_ev_per_fu": 0.20
}



{
  "formula": "Ac2TmIn",
  "functional": "PBE-GGA",
  "state": "relaxed",
  "lattice": [[4.2068, 0.0000, 0.0000], [0.0000, 4.2068, 0.0000], [0.0000, 0.0000, 8.1624]],
  "species": ["Ac", "Ac", "Tm", "In"],
  "fractional_positions": [[0.0000, 0.0000, 0.2340], [0.0000, 0.0000, 0.7660], [0.5000, 0.5000, 0.5000], [0.5000, 0.5000, 0.0000]],
  "sg": "P4/mmm, No. 123",
  "total_energy_ev_per_cell": -15.94,
  "crystal_system": "tetragonal",
  "total_magnetization_mub_per_atom": 0.00,
  "e_form_ev_per_atom": -0.13,
  "polymorph_energy_ev_per_fu": 0.08
}